Compound: Li8GaPd6
Source: the Alexandria database
Functional: PBE
Structure: relaxed

Cell and atoms, written as POSCAR:
```
Li8GaPd6
1.0
3.737 2.158 5.172
-3.737 2.158 5.172
0.000 -4.316 5.172
Li Ga Pd
8 1 6
direct
0.052 0.377 0.709
0.169 0.169 0.169
0.291 0.948 0.623
0.377 0.709 0.052
0.623 0.291 0.948
0.709 0.052 0.377
0.831 0.831 0.831
0.948 0.623 0.291
0.500 0.500 0.500
0.126 0.789 0.456
0.211 0.544 0.874
0.456 0.126 0.789
0.544 0.874 0.211
0.789 0.456 0.126
0.874 0.211 0.544
```

Values from the calculation:
* DFT total energy: -54.277 eV/cell
* symmetry: R-3 (148)

Compound: K2Sb2Au5
Source: the Alexandria database
Functional: PBE
Structure: relaxed

Cell and atoms, written as POSCAR:
```
K2Sb2Au5
1.0
7.392 -2.300 0.000
7.392 2.300 0.000
-0.968 0.000 9.008
K Sb Au
2 2 5
direct
0.087 0.087 0.233
0.913 0.913 0.767
0.344 0.344 0.326
0.656 0.656 0.674
0.221 0.221 0.572
0.436 0.436 0.089
0.500 0.500 0.500
0.564 0.564 0.911
0.779 0.779 0.428
```

Values from the calculation:
* symmetry: C2/m (12)
* ΔE_f (raw): -24.6 kJ per mole of atoms

Compound: BaAlCdAu6
Source: the Alexandria database
Functional: PBE
Structure: relaxed

Cell and atoms, written as POSCAR:
```
BaAlCdAu6
1.0
-4.038 4.557 6.735
4.038 -4.557 6.735
4.038 4.557 -6.735
Ba Al Cd Au
2 2 2 12
direct
0.388 0.138 0.250
0.612 0.862 0.750
0.000 0.500 0.500
0.500 0.500 0.000
0.000 0.000 0.500
0.000 0.500 0.000
0.142 0.892 0.250
0.165 0.470 0.326
0.165 0.839 0.694
0.332 0.582 0.750
0.355 0.161 0.826
0.355 0.530 0.194
0.645 0.470 0.806
0.645 0.839 0.174
0.668 0.418 0.250
0.835 0.161 0.306
0.835 0.530 0.674
0.858 0.108 0.750
```

Values from the calculation:
* DFT total energy: -55.530 eV/cell
* symmetry: Imma (74)

Compound: Sm4DyHoSe8
Source: the Alexandria database
Functional: PBE
Structure: relaxed

Cell and atoms, written as POSCAR:
```
Sm4DyHoSe8
1.0
4.269 2.465 6.956
-4.269 2.465 6.956
0.000 -4.929 6.956
Sm Dy Ho Se
4 1 1 8
direct
0.000 0.000 0.000
0.377 0.377 0.873
0.377 0.873 0.377
0.873 0.377 0.377
0.377 0.377 0.377
0.751 0.751 0.751
0.133 0.133 0.133
0.138 0.138 0.600
0.138 0.600 0.138
0.143 0.617 0.617
0.600 0.138 0.138
0.617 0.143 0.617
0.617 0.617 0.143
0.622 0.622 0.622
```

Values from the calculation:
* symmetry: R3m (160)
* ΔE_f (raw): -166.1 kJ per mole of atoms

Compound: Zr2ScRe
Source: the Alexandria database
Functional: PBE
Structure: relaxed

Cell and atoms, written as POSCAR:
```
Zr2ScRe
1.0
0.000 3.410 3.410
3.410 0.000 3.410
3.410 3.410 0.000
Zr Sc Re
2 1 1
direct
0.000 0.000 0.000
0.250 0.250 0.250
0.750 0.750 0.750
0.500 0.500 0.500
```

Values from the calculation:
* DFT total energy: -35.571 eV/cell
* symmetry: F-43m (216)

Compound: GdHf2Tc
Source: the Alexandria database
Functional: PBE
Structure: relaxed

Cell and atoms, written as POSCAR:
```
GdHf2Tc
1.0
0.000 3.453 3.453
3.453 0.000 3.453
3.453 3.453 0.000
Gd Hf Tc
1 2 1
direct
0.000 0.000 0.000
0.250 0.250 0.250
0.750 0.750 0.750
0.500 0.500 0.500
```

Values from the calculation:
* symmetry: Fm-3m (225)
* energy above the most stable polymorph in this dataset: 1.07 eV per formula unit

Compound: NiRu4Pt
Source: the Alexandria database
Functional: PBE
Structure: relaxed

Cell and atoms, written as POSCAR:
```
NiRu4Pt
1.0
0.000 3.569 3.569
3.569 0.000 3.569
3.569 3.569 0.000
Ni Ru Pt
1 4 1
direct
0.000 0.000 0.000
0.375 0.375 0.375
0.375 0.375 0.875
0.375 0.875 0.375
0.875 0.375 0.375
0.750 0.750 0.750
```

Values from the calculation:
* DFT total energy: -45.045 eV/cell
* symmetry: F-43m (216)

Compound: Er2MnAs
Source: the Alexandria database
Functional: PBE
Structure: relaxed

Cell and atoms, written as POSCAR:
```
Er2MnAs
1.0
1.883 1.087 9.304
-1.883 1.087 9.304
0.000 -2.175 9.304
Er Mn As
2 1 1
direct
0.105 0.105 0.105
0.895 0.895 0.895
0.000 0.000 0.000
0.500 0.500 0.500
```

Values from the calculation:
* DFT total energy: -22.882 eV/cell
* symmetry: R-3m (166)

Compound: RbMoOsN2
Source: the Alexandria database
Functional: PBE
Structure: relaxed

Cell and atoms, written as POSCAR:
```
RbMoOsN2
1.0
3.926 0.000 0.000
0.000 3.926 0.000
0.000 0.000 6.370
Rb Mo Os N
1 1 1 2
direct
0.000 0.000 0.000
0.500 0.500 0.000
0.000 0.000 0.500
0.000 0.500 0.500
0.500 0.000 0.500
```

Values from the calculation:
* symmetry: P4/mmm (123)
* ΔE_f (raw): 196.8 kJ per mole of atoms

Compound: RbGeTe3
Source: the Alexandria database
Functional: PBE
Structure: relaxed

Cell and atoms, written as POSCAR:
```
RbGeTe3
1.0
4.514 2.606 4.955
-4.514 2.606 4.955
0.000 -5.213 4.955
Rb Ge Te
2 2 6
direct
0.000 0.000 0.000
0.500 0.500 0.500
0.254 0.254 0.254
0.754 0.754 0.754
0.110 0.952 0.488
0.452 0.610 0.988
0.488 0.110 0.952
0.610 0.988 0.452
0.952 0.488 0.110
0.988 0.452 0.610
```

Values from the calculation:
* symmetry: R3c (161)
* ΔE_f (raw): -19.3 kJ per mole of atoms

Compound: Pm2BiH
Source: the Alexandria database
Functional: PBE
Structure: relaxed

Cell and atoms, written as POSCAR:
```
Pm2BiH
1.0
2.116 1.222 6.667
-2.116 1.222 6.667
0.000 -2.444 6.667
Pm Bi H
2 1 1
direct
0.235 0.235 0.235
0.765 0.765 0.765
0.000 0.000 0.000
0.500 0.500 0.500
```

Values from the calculation:
* symmetry: R-3m (166)
* energy above the most stable polymorph in this dataset: 0.71 eV per formula unit

Compound: NpPa2FeN6
Source: the Alexandria database
Functional: PBE
Structure: relaxed

Cell and atoms, written as POSCAR:
```
NpPa2FeN6
1.0
2.897 1.672 4.281
-2.897 1.672 4.281
0.000 -3.345 4.281
Np Pa Fe N
1 2 1 6
direct
0.000 0.000 0.000
0.271 0.271 0.271
0.729 0.729 0.729
0.500 0.500 0.500
0.151 0.364 0.723
0.277 0.849 0.636
0.364 0.723 0.151
0.636 0.277 0.849
0.723 0.151 0.364
0.849 0.636 0.277
```

Values from the calculation:
* symmetry: R-3 (148)
* ΔE_f (raw): -96.5 kJ per mole of atoms

Compound: DyCuO3
Source: the Alexandria database
Functional: PBE
Structure: relaxed

Cell and atoms, written as POSCAR:
```
DyCuO3
1.0
3.223 0.000 0.000
0.000 5.043 0.000
0.000 0.000 6.859
Dy Cu O
2 2 6
direct
0.250 0.250 0.157
0.750 0.750 0.843
0.250 0.750 0.371
0.750 0.250 0.629
0.250 0.508 0.656
0.250 0.750 0.068
0.250 0.992 0.656
0.750 0.008 0.344
0.750 0.250 0.932
0.750 0.492 0.344
```

Values from the calculation:
* symmetry: Pmmn (59)
* ΔE_f (raw): -167.4 kJ per mole of atoms

Compound: AlGeOF2
Source: the Alexandria database
Functional: PBE
Structure: relaxed

Cell and atoms, written as POSCAR:
```
AlGeOF2
1.0
4.403 0.000 0.000
0.000 4.403 0.000
0.000 0.000 3.791
Al Ge O F
1 1 1 2
direct
0.000 0.000 0.000
0.500 0.500 0.500
0.500 0.500 0.000
0.000 0.500 0.500
0.500 0.000 0.500
```

Values from the calculation:
* symmetry: P4/mmm (123)
* energy above the most stable polymorph in this dataset: 3.36 eV per formula unit
* ΔE_f (raw): -123.8 kJ per mole of atoms

Compound: Tb3Pm7Tm2
Source: the Alexandria database
Functional: PBE
Structure: relaxed

Cell and atoms, written as POSCAR:
```
Tb3Pm7Tm2
1.0
6.444 0.000 0.000
0.000 3.576 0.000
-0.088 0.000 17.392
Tb Pm Tm
3 7 2
direct
0.000 0.000 0.000
0.500 0.500 0.340
0.500 0.500 0.660
0.177 0.500 0.168
0.258 0.000 0.506
0.323 0.000 0.830
0.500 0.500 0.000
0.677 0.000 0.170
0.742 0.000 0.494
0.823 0.500 0.832
0.010 0.000 0.329
0.990 0.000 0.671
```

Values from the calculation:
* symmetry: P2/m (10)
* energy above the most stable polymorph in this dataset: 0.00 eV per formula unit

Compound: Fe2AsBr
Source: the Alexandria database
Functional: PBE
Structure: relaxed

Cell and atoms, written as POSCAR:
```
Fe2AsBr
1.0
3.511 0.000 0.000
0.000 3.526 0.000
0.000 0.000 6.530
Fe As Br
2 1 1
direct
0.000 0.000 0.000
0.500 0.500 0.001
0.000 0.500 0.743
0.500 0.000 0.287
```

Values from the calculation:
* symmetry: Pmm2 (25)
* energy above the most stable polymorph in this dataset: 0.00 eV per formula unit
* ΔE_f (raw): 2.4 kJ per mole of atoms

Compound: Ba6AsPb2I3
Source: the Alexandria database
Functional: PBE
Structure: relaxed

Cell and atoms, written as POSCAR:
```
Ba6AsPb2I3
1.0
4.542 -6.891 0.000
4.542 6.891 0.000
-2.612 0.000 8.786
Ba As Pb I
6 1 2 3
direct
0.069 0.392 0.711
0.221 0.221 0.265
0.392 0.069 0.711
0.608 0.931 0.289
0.779 0.779 0.735
0.931 0.608 0.289
0.000 0.000 0.500
0.360 0.640 0.500
0.640 0.360 0.500
0.176 0.824 0.000
0.500 0.500 0.000
0.824 0.176 0.000
```

Values from the calculation:
* symmetry: C2/m (12)
* ΔE_f (raw): -107.3 kJ per mole of atoms

Compound: Pa2GaPN5
Source: the Alexandria database
Functional: PBE
Structure: relaxed

Cell and atoms, written as POSCAR:
```
Pa2GaPN5
1.0
6.691 0.000 0.000
0.000 6.691 0.000
0.000 0.000 5.386
Pa Ga P N
4 2 2 10
direct
0.189 0.311 0.000
0.311 0.811 0.000
0.689 0.189 0.000
0.811 0.689 0.000
0.000 0.000 0.500
0.500 0.500 0.500
0.000 0.500 0.500
0.500 0.000 0.500
0.000 0.000 0.000
0.127 0.627 0.265
0.127 0.627 0.735
0.373 0.127 0.265
0.373 0.127 0.735
0.500 0.500 0.000
0.627 0.873 0.265
0.627 0.873 0.735
0.873 0.373 0.265
0.873 0.373 0.735
```

Values from the calculation:
* symmetry: P4/mbm (127)
* ΔE_f (raw): -62.2 kJ per mole of atoms

Compound: NaY4Au5
Source: the Alexandria database
Functional: PBE
Structure: relaxed

Cell and atoms, written as POSCAR:
```
NaY4Au5
1.0
3.586 0.000 0.000
0.000 3.586 0.000
0.000 0.000 18.218
Na Y Au
1 4 5
direct
0.000 0.000 0.000
0.000 0.000 0.198
0.000 0.000 0.400
0.000 0.000 0.600
0.000 0.000 0.802
0.500 0.500 0.109
0.500 0.500 0.302
0.500 0.500 0.500
0.500 0.500 0.698
0.500 0.500 0.891
```

Values from the calculation:
* DFT total energy: -51.085 eV/cell
* symmetry: P4/mmm (123)

Compound: Zr2CrHRu
Source: the Alexandria database
Functional: PBE
Structure: relaxed

Cell and atoms, written as POSCAR:
```
Zr2CrHRu
1.0
4.617 0.000 0.000
0.000 4.617 0.000
0.000 0.000 3.358
Zr Cr H Ru
2 1 1 1
direct
0.000 0.500 0.000
0.500 0.000 0.000
0.000 0.000 0.500
0.000 0.000 0.000
0.500 0.500 0.500
```

Values from the calculation:
* symmetry: P4/mmm (123)
* energy above the most stable polymorph in this dataset: 0.00 eV per formula unit

Compound: PmThTe2S
Source: the Alexandria database
Functional: PBE
Structure: relaxed

Cell and atoms, written as POSCAR:
```
PmThTe2S
1.0
4.510 0.000 0.000
0.000 4.510 0.000
0.000 0.000 15.583
Pm Th Te S
2 2 4 2
direct
0.250 0.250 0.100
0.750 0.750 0.900
0.250 0.250 0.601
0.750 0.750 0.399
0.250 0.250 0.388
0.250 0.250 0.795
0.750 0.750 0.205
0.750 0.750 0.612
0.250 0.750 0.000
0.750 0.250 0.000
```

Values from the calculation:
* symmetry: P4/nmm (129)
* ΔE_f (raw): -133.3 kJ per mole of atoms

Compound: CuNiPd6
Source: the Alexandria database
Functional: PBE
Structure: relaxed

Cell and atoms, written as POSCAR:
```
CuNiPd6
1.0
3.877 0.000 0.000
0.000 3.877 0.000
0.000 0.000 7.743
Cu Ni Pd
1 1 6
direct
0.000 0.000 0.000
0.000 0.000 0.500
0.000 0.500 0.252
0.000 0.500 0.748
0.500 0.000 0.252
0.500 0.000 0.748
0.500 0.500 0.000
0.500 0.500 0.500
```

Values from the calculation:
* symmetry: P4/mmm (123)
* energy above the most stable polymorph in this dataset: 0.00 eV per formula unit

Compound: MgBe
Source: the Alexandria database
Functional: PBE
Structure: relaxed

Cell and atoms, written as POSCAR:
```
MgBe
1.0
1.956 1.129 4.811
-1.956 1.129 4.811
0.000 -2.259 4.811
Mg Be
2 2
direct
0.098 0.098 0.098
0.902 0.902 0.902
0.328 0.328 0.328
0.672 0.672 0.672
```

Values from the calculation:
* symmetry: R-3m (166)
* energy above the most stable polymorph in this dataset: 0.12 eV per formula unit

Compound: LiDy2CdHg4
Source: the Alexandria database
Functional: PBE
Structure: relaxed

Cell and atoms, written as POSCAR:
```
LiDy2CdHg4
1.0
2.520 1.455 8.257
-2.520 1.455 8.257
0.000 -2.910 8.257
Li Dy Cd Hg
1 2 1 4
direct
0.000 0.000 0.000
0.247 0.247 0.247
0.753 0.753 0.753
0.500 0.500 0.500
0.119 0.119 0.119
0.370 0.370 0.370
0.630 0.630 0.630
0.881 0.881 0.881
```

Values from the calculation:
* DFT total energy: -16.648 eV/cell
* symmetry: R-3m (166)